Below is an optimized crystal structure of TbPrRhAu, with properties calculated at the PBE level.

DFT formation energy: -781 meV/atom
relative energy among the computed polymorphs: 0.00 eV/f.u.
E: -5.791 eV/atom

abc: 3.8913 4.6500 5.6654
angles: 90.00 110.09 90.00
Fractional coordinates of all 4 atoms:
Tb 0.8650 0.5000 0.7301
Rh 0.4088 0.0000 0.8175
Pr 0.1455 0.0000 0.2909
Au 0.5807 0.5000 0.1615

=====

Below is an optimized crystal structure of BaSnF3, with properties calculated at the PBE level.

ΔE_f (raw): -1104 kJ/mol of formula units
relative energy among the computed polymorphs: 0.14 eV/f.u.
E: -4.597 eV/atom

abc: 4.8070 4.8070 4.8070
angles: 90.00 90.00 90.00
Fractional coordinates of all 5 atoms:
F 0.0000 0.0000 0.5000
F 0.0000 0.5000 0.0000
F 0.5000 0.0000 0.0000
Sn 0.0000 0.0000 0.0000
Ba 0.5000 0.5000 0.5000

=====

Below is an optimized crystal structure of RbNbSb2Te, with properties calculated at the PBE level.

ΔE_f (raw): -61 kJ/mol of formula units
relative energy among the computed polymorphs: 0.00 eV/f.u.
E: -4.611 eV/atom

abc: 5.4888 5.4888 5.5465
angles: 90.00 90.00 90.00
Fractional coordinates of all 5 atoms:
Nb 0.0000 0.0000 0.0000
Rb 0.5000 0.5000 0.5000
Te 0.0000 0.0000 0.5000
Sb 0.0000 0.5000 0.0000
Sb 0.5000 0.0000 0.0000

=====

Below is an optimized crystal structure of SmThBiSe, with properties calculated at the PBE level.

ΔE_f (raw): -457 kJ/mol of formula units
E: -6.060 eV/atom

abc: 4.2753 4.2749 7.9535
angles: 90.00 105.61 119.99
Fractional coordinates of all 4 atoms:
Bi 0.4730 0.1344 0.6227
Se 0.1300 0.9630 0.1082
Th 0.9512 0.3736 0.3401
Sm 0.3237 0.5598 0.8987

=====

Below is an optimized crystal structure of Cu5Ni4Pt, with properties calculated at the PBE level.

DFT formation energy: 220 meV/atom
E: -4.744 eV/atom

abc: 4.2788 7.3209 8.2481
angles: 90.00 90.00 90.00
Site moments in Bohr magnetons follow the coordinates.
Fractional coordinates of all 20 atoms:
Cu 0.2518 0.8296 0.2631  0.01
Cu 0.2518 0.8296 0.7369  0.01
Cu 0.2518 0.1704 0.7369  0.01
Cu 0.7482 0.3296 0.7631  0.01
Cu 0.4077 0.0000 0.5000  0.00
Cu 0.7482 0.6704 0.7631  0.01
Cu 0.5923 0.5000 0.0000  0.00
Cu 0.7482 0.6704 0.2369  0.01
Cu 0.2518 0.1704 0.2631  0.01
Cu 0.7482 0.3296 0.2369  0.01
Pt 0.5928 0.5000 0.5000  0.12
Pt 0.4072 0.0000 0.0000  0.12
Ni 0.7583 0.0000 0.2484  0.23
Ni 0.2417 0.5000 0.2516  0.23
Ni 0.8881 0.1837 0.5000  0.36
Ni 0.8881 0.8163 0.5000  0.36
Ni 0.7583 0.0000 0.7516  0.23
Ni 0.1119 0.6837 0.0000  0.36
Ni 0.1119 0.3163 0.0000  0.36
Ni 0.2417 0.5000 0.7484  0.23

=====

Below is an optimized crystal structure of Ir2S2F, with properties calculated at the PBE level.

ΔE_f (raw): -144 kJ/mol of formula units
relative energy among the computed polymorphs: 0.00 eV/f.u.
E: -5.868 eV/atom

abc: 4.5976 4.5976 4.8542
angles: 61.73 61.73 90.00
Fractional coordinates of all 5 atoms:
Ir 0.6712 0.6712 0.6575
Ir 0.3288 0.3288 0.3425
S 0.7500 0.2500 0.5000
S 0.2500 0.7500 0.5000
F 0.0000 0.0000 0.0000

=====

Below is an optimized crystal structure of CuTcTeI2, with properties calculated at the PBE level.

ΔE_f (raw): 367 kJ/mol of formula units
relative energy among the computed polymorphs: 0.00 eV/f.u.
E: -3.380 eV/atom

abc: 5.6439 5.6439 5.0185
angles: 90.00 90.00 90.00
Site moments in Bohr magnetons follow the coordinates.
Fractional coordinates of all 5 atoms:
I 0.5000 0.0000 0.0000  0.02
I 0.0000 0.5000 0.0000  0.02
Cu 0.5000 0.5000 0.5000  -0.01
Te 0.0000 0.0000 0.5000  -0.04
Tc 0.0000 0.0000 0.0000  0.66

=====

Below is an optimized crystal structure of Ho8CdCo2, with properties calculated at the PBE level.

DFT formation energy: -90 meV/atom
E: -4.794 eV/atom

abc: 5.3206 7.7949 7.7949
angles: 113.58 97.16 97.16
Fractional coordinates of all 11 atoms:
Ho 0.9249 0.9325 0.6688
Ho 0.5000 0.7496 0.2504
Ho 0.0751 0.0675 0.3312
Ho 0.0751 0.3312 0.0675
Ho 0.5000 0.2504 0.7496
Ho 0.3010 0.6138 0.6138
Ho 0.9249 0.6688 0.9325
Ho 0.6990 0.3862 0.3862
Co 0.0000 0.6926 0.3074
Co 0.0000 0.3074 0.6926
Cd 0.5000 0.0000 0.0000

=====

Below is an optimized crystal structure of Pr3Dy3Y, with properties calculated at the PBE level.

DFT formation energy: 248 meV/atom
relative energy among the computed polymorphs: 1.56 eV/f.u.
E: -4.696 eV/atom

abc: 8.9091 8.9091 8.9091
angles: 58.84 58.84 58.84
Fractional coordinates of all 14 atoms:
Y 0.3490 0.3490 0.3490
Y 0.6510 0.6510 0.6510
Dy 0.7252 0.5717 0.0634
Dy 0.2748 0.4283 0.9366
Dy 0.0634 0.7252 0.5717
Dy 0.9366 0.2748 0.4283
Dy 0.5717 0.0634 0.7252
Dy 0.4283 0.9366 0.2748
Pr 0.7034 0.1802 0.9378
Pr 0.9378 0.7034 0.1802
Pr 0.1802 0.9378 0.7034
Pr 0.0622 0.2966 0.8198
Pr 0.8198 0.0622 0.2966
Pr 0.2966 0.8198 0.0622

=====

Below is an optimized crystal structure of NaCuO, with properties calculated at the PBE level.

ΔE_f (raw): -158 kJ/mol of formula units
E: -4.004 eV/atom

abc: 3.5398 3.9754 4.9710
angles: 80.88 69.14 63.56
Fractional coordinates of all 3 atoms:
Cu 0.0635 0.0000 0.8730
Na 0.3384 0.0000 0.3232
O 0.5981 0.0000 0.8039

=====

Below is an optimized crystal structure of Y2Th2AlGa4, with properties calculated at the PBE level.

DFT formation energy: -161 meV/atom
E: -5.008 eV/atom

abc: 6.7636 6.7636 6.7636
angles: 94.78 117.28 117.28
Fractional coordinates of all 9 atoms:
Th 0.0000 0.6928 0.6928
Th 0.0000 0.3072 0.3072
Y 0.5000 0.7500 0.2500
Y 0.5000 0.2500 0.7500
Ga 0.0000 0.2478 0.7522
Ga 0.4956 0.2478 0.2478
Ga 0.0000 0.7522 0.2478
Ga 0.5044 0.7522 0.7522
Al 0.0000 0.0000 0.0000

=====

Below is an optimized crystal structure of LiLaH2I, with properties calculated at the PBE level.

E: -3.287 eV/atom

abc: 4.4017 5.1078 4.4017
angles: 90.00 90.00 90.00
Fractional coordinates of all 5 atoms:
I 0.0000 0.5000 0.0000
Li 0.0000 0.0000 0.0000
La 0.5000 0.5000 0.5000
H 0.5000 0.0000 0.0000
H 0.0000 0.0000 0.5000

=====

Question: E of number 5 (Cu5Ni4Pt)?
Answer: -4.744 eV/atom

=====

Copy entry 5 word for word.
Below is an optimized crystal structure of Cu5Ni4Pt, with properties calculated at the PBE level.

DFT formation energy: 220 meV/atom
E: -4.744 eV/atom

abc: 4.2788 7.3209 8.2481
angles: 90.00 90.00 90.00
Site moments in Bohr magnetons follow the coordinates.
Fractional coordinates of all 20 atoms:
Cu 0.2518 0.8296 0.2631  0.01
Cu 0.2518 0.8296 0.7369  0.01
Cu 0.2518 0.1704 0.7369  0.01
Cu 0.7482 0.3296 0.7631  0.01
Cu 0.4077 0.0000 0.5000  0.00
Cu 0.7482 0.6704 0.7631  0.01
Cu 0.5923 0.5000 0.0000  0.00
Cu 0.7482 0.6704 0.2369  0.01
Cu 0.2518 0.1704 0.2631  0.01
Cu 0.7482 0.3296 0.2369  0.01
Pt 0.5928 0.5000 0.5000  0.12
Pt 0.4072 0.0000 0.0000  0.12
Ni 0.7583 0.0000 0.2484  0.23
Ni 0.2417 0.5000 0.2516  0.23
Ni 0.8881 0.1837 0.5000  0.36
Ni 0.8881 0.8163 0.5000  0.36
Ni 0.7583 0.0000 0.7516  0.23
Ni 0.1119 0.6837 0.0000  0.36
Ni 0.1119 0.3163 0.0000  0.36
Ni 0.2417 0.5000 0.7484  0.23

=====

What did the fifth record say?
Below is an optimized crystal structure of Cu5Ni4Pt, with properties calculated at the PBE level.

DFT formation energy: 220 meV/atom
E: -4.744 eV/atom

abc: 4.2788 7.3209 8.2481
angles: 90.00 90.00 90.00
Site moments in Bohr magnetons follow the coordinates.
Fractional coordinates of all 20 atoms:
Cu 0.2518 0.8296 0.2631  0.01
Cu 0.2518 0.8296 0.7369  0.01
Cu 0.2518 0.1704 0.7369  0.01
Cu 0.7482 0.3296 0.7631  0.01
Cu 0.4077 0.0000 0.5000  0.00
Cu 0.7482 0.6704 0.7631  0.01
Cu 0.5923 0.5000 0.0000  0.00
Cu 0.7482 0.6704 0.2369  0.01
Cu 0.2518 0.1704 0.2631  0.01
Cu 0.7482 0.3296 0.2369  0.01
Pt 0.5928 0.5000 0.5000  0.12
Pt 0.4072 0.0000 0.0000  0.12
Ni 0.7583 0.0000 0.2484  0.23
Ni 0.2417 0.5000 0.2516  0.23
Ni 0.8881 0.1837 0.5000  0.36
Ni 0.8881 0.8163 0.5000  0.36
Ni 0.7583 0.0000 0.7516  0.23
Ni 0.1119 0.6837 0.0000  0.36
Ni 0.1119 0.3163 0.0000  0.36
Ni 0.2417 0.5000 0.7484  0.23

=====

Question: What is the E in the third record?
Answer: -4.611 eV/atom